No. 1
VASP calculation (GGA-PBE) on CaMgCu after structural relaxation.

```
data_CaMgCu
_cell_length_a 4.991
_cell_length_b 5.557
_cell_length_c 12.050
_cell_angle_alpha 90.00
_cell_angle_beta 90.00
_cell_angle_gamma 90.00
_space_group_name_H-M_alt 'P 1'
_space_group_IT_number 1
loop_
_space_group_symop_operation_xyz
'x,y,z'
loop_
_atom_site_label
_atom_site_type_symbol
_atom_site_fract_x
_atom_site_fract_y
_atom_site_fract_z
Ca1 Ca 0.000 0.750 0.904
Ca2 Ca 0.000 0.250 0.096
Ca3 Ca 0.000 0.250 0.404
Ca4 Ca 0.000 0.750 0.596
Mg1 Mg 0.500 0.750 0.391
Mg2 Mg 0.500 0.250 0.609
Mg3 Mg 0.500 0.250 0.891
Mg4 Mg 0.500 0.750 0.109
Cu1 Cu 0.000 0.750 0.346
Cu2 Cu 0.000 0.250 0.654
Cu3 Cu 0.000 0.250 0.846
Cu4 Cu 0.000 0.750 0.154
```

Results
SG: Cmmm
V (Å³/f.u.): 83.5
Formation energy (meV per atom): 81
E_tot (eV for the cell shown): -29.79

No. 2
VASP calculation (GGA-PBE) on Ca4Mg2Cu3 after structural relaxation.

```
data_Ca4Mg2Cu3
_cell_length_a 8.860
_cell_length_b 8.860
_cell_length_c 7.563
_cell_angle_alpha 74.17
_cell_angle_beta 74.17
_cell_angle_gamma 24.06
_space_group_name_H-M_alt 'P 1'
_space_group_IT_number 1
loop_
_space_group_symop_operation_xyz
'x,y,z'
loop_
_atom_site_label
_atom_site_type_symbol
_atom_site_fract_x
_atom_site_fract_y
_atom_site_fract_z
Ca1 Ca 0.743 0.743 0.260
Ca2 Ca 0.257 0.257 0.740
Ca3 Ca 0.437 0.437 0.357
Ca4 Ca 0.563 0.563 0.643
Mg1 Mg 0.606 0.606 0.037
Mg2 Mg 0.394 0.394 0.963
Cu1 Cu 0.915 0.915 0.692
Cu2 Cu 0.085 0.085 0.308
Cu3 Cu 0.000 0.000 0.000
```

Results
SG: C2/m
V (Å³/f.u.): 232.4
Formation energy (meV per atom): -24
E_tot (eV for the cell shown): -23.70

No. 3
VASP calculation (GGA-PBE) on Ca2MgCu after structural relaxation.

```
data_Ca2MgCu
_cell_length_a 4.567
_cell_length_b 4.567
_cell_length_c 13.528
_cell_angle_alpha 90.00
_cell_angle_beta 90.00
_cell_angle_gamma 120.00
_space_group_name_H-M_alt 'P 1'
_space_group_IT_number 1
loop_
_space_group_symop_operation_xyz
'x,y,z'
loop_
_atom_site_label
_atom_site_type_symbol
_atom_site_fract_x
_atom_site_fract_y
_atom_site_fract_z
Ca1 Ca 0.667 0.333 0.891
Ca2 Ca 0.333 0.667 0.391
Ca3 Ca 0.667 0.333 0.609
Ca4 Ca 0.333 0.667 0.109
Mg1 Mg 0.333 0.667 0.750
Mg2 Mg 0.667 0.333 0.250
Cu1 Cu 0.000 0.000 0.750
Cu2 Cu 0.000 0.000 0.250
```

Results
SG: P6_3/mmc
V (Å³/f.u.): 122.2
Formation energy (meV per atom): 12
E_tot (eV for the cell shown): -19.30

No. 4
VASP calculation (GGA-PBE) on Ca2Mg7Cu3 after structural relaxation.

```
data_Ca2Mg7Cu3
_cell_length_a 11.011
_cell_length_b 11.011
_cell_length_c 11.011
_cell_angle_alpha 30.36
_cell_angle_beta 30.36
_cell_angle_gamma 30.36
_space_group_name_H-M_alt 'P 1'
_space_group_IT_number 1
loop_
_space_group_symop_operation_xyz
'x,y,z'
loop_
_atom_site_label
_atom_site_type_symbol
_atom_site_fract_x
_atom_site_fract_y
_atom_site_fract_z
Ca1 Ca 0.666 0.666 0.666
Ca2 Ca 0.334 0.334 0.334
Mg1 Mg 0.500 0.500 0.500
Mg2 Mg 0.403 0.403 0.913
Mg3 Mg 0.403 0.913 0.403
Mg4 Mg 0.913 0.403 0.403
Mg5 Mg 0.597 0.597 0.087
Mg6 Mg 0.087 0.597 0.597
Mg7 Mg 0.597 0.087 0.597
Cu1 Cu 0.000 0.000 0.000
Cu2 Cu 0.835 0.835 0.835
Cu3 Cu 0.165 0.165 0.165
```

Results
SG: R-3m
V (Å³/f.u.): 302.3
Formation energy (meV per atom): 382
E_tot (eV for the cell shown): -22.87

No. 5
VASP calculation (GGA-PBE) on Ca3Mg2Cu after structural relaxation.

```
data_Ca3Mg2Cu
_cell_length_a 7.361
_cell_length_b 7.361
_cell_length_c 6.512
_cell_angle_alpha 90.00
_cell_angle_beta 90.00
_cell_angle_gamma 79.30
_space_group_name_H-M_alt 'P 1'
_space_group_IT_number 1
loop_
_space_group_symop_operation_xyz
'x,y,z'
loop_
_atom_site_label
_atom_site_type_symbol
_atom_site_fract_x
_atom_site_fract_y
_atom_site_fract_z
Ca1 Ca 0.082 0.082 0.750
Ca2 Ca 0.918 0.918 0.250
Ca3 Ca 0.954 0.589 0.750
Ca4 Ca 0.046 0.411 0.250
Ca5 Ca 0.589 0.954 0.750
Ca6 Ca 0.411 0.046 0.250
Cu1 Cu 0.348 0.348 0.750
Cu2 Cu 0.652 0.652 0.250
Mg1 Mg 0.659 0.341 0.000
Mg2 Mg 0.341 0.659 0.500
Mg3 Mg 0.341 0.659 0.000
Mg4 Mg 0.659 0.341 0.500
```

Results
SG: Cmcm
V (Å³/f.u.): 173.4
Formation energy (meV per atom): -24
E_tot (eV for the cell shown): -26.87

No. 6
VASP calculation (GGA-PBE) on CaMg2Cu2 after structural relaxation.

```
data_CaMg2Cu2
_cell_length_a 4.208
_cell_length_b 4.208
_cell_length_c 6.594
_cell_angle_alpha 71.40
_cell_angle_beta 71.40
_cell_angle_gamma 90.00
_space_group_name_H-M_alt 'P 1'
_space_group_IT_number 1
loop_
_space_group_symop_operation_xyz
'x,y,z'
loop_
_atom_site_label
_atom_site_type_symbol
_atom_site_fract_x
_atom_site_fract_y
_atom_site_fract_z
Ca1 Ca 0.000 0.000 0.000
Mg1 Mg 0.750 0.250 0.500
Mg2 Mg 0.250 0.750 0.500
Cu1 Cu 0.397 0.397 0.205
Cu2 Cu 0.603 0.603 0.795
```

Results
SG: I4/mmm
V (Å³/f.u.): 104.2
Formation energy (meV per atom): -101
E_tot (eV for the cell shown): -13.89

No. 7
VASP calculation (GGA-PBE) on CaMgCu after structural relaxation.

```
data_CaMgCu
_cell_length_a 5.795
_cell_length_b 8.277
_cell_length_c 8.037
_cell_angle_alpha 46.52
_cell_angle_beta 90.00
_cell_angle_gamma 90.00
_space_group_name_H-M_alt 'P 1'
_space_group_IT_number 1
loop_
_space_group_symop_operation_xyz
'x,y,z'
loop_
_atom_site_label
_atom_site_type_symbol
_atom_site_fract_x
_atom_site_fract_y
_atom_site_fract_z
Ca1 Ca 0.110 0.166 0.202
Ca2 Ca 0.610 0.834 0.298
Ca3 Ca 0.890 0.834 0.798
Ca4 Ca 0.390 0.166 0.702
Cu1 Cu 0.103 0.822 0.153
Cu2 Cu 0.603 0.178 0.347
Cu3 Cu 0.897 0.178 0.847
Cu4 Cu 0.397 0.822 0.653
Mg1 Mg 0.111 0.583 0.616
Mg2 Mg 0.611 0.417 0.884
Mg3 Mg 0.889 0.417 0.384
Mg4 Mg 0.389 0.583 0.116
```

Results
SG: P2_1/c
V (Å³/f.u.): 69.9
Formation energy (meV per atom): -138
E_tot (eV for the cell shown): -32.42

No. 8
VASP calculation (GGA-PBE) on Ca2Mg2Cu15 after structural relaxation.

```
data_Ca2Mg2Cu15
_cell_length_a 6.584
_cell_length_b 6.584
_cell_length_c 6.584
_cell_angle_alpha 82.79
_cell_angle_beta 82.79
_cell_angle_gamma 82.79
_space_group_name_H-M_alt 'P 1'
_space_group_IT_number 1
loop_
_space_group_symop_operation_xyz
'x,y,z'
loop_
_atom_site_label
_atom_site_type_symbol
_atom_site_fract_x
_atom_site_fract_y
_atom_site_fract_z
Ca1 Ca 0.352 0.352 0.352
Ca2 Ca 0.648 0.648 0.648
Mg1 Mg 0.105 0.105 0.105
Mg2 Mg 0.895 0.895 0.895
Cu1 Cu 0.500 0.000 0.000
Cu2 Cu 0.000 0.000 0.500
Cu3 Cu 0.000 0.500 0.000
Cu4 Cu 0.000 0.701 0.299
Cu5 Cu 0.701 0.299 0.000
Cu6 Cu 0.299 0.000 0.701
Cu7 Cu 0.299 0.701 0.000
Cu8 Cu 0.701 0.000 0.299
Cu9 Cu 0.000 0.299 0.701
Cu10 Cu 0.157 0.655 0.655
Cu11 Cu 0.655 0.655 0.157
Cu12 Cu 0.655 0.157 0.655
Cu13 Cu 0.843 0.345 0.345
Cu14 Cu 0.345 0.345 0.843
Cu15 Cu 0.345 0.843 0.345
```

Results
SG: R-3m
V (Å³/f.u.): 279.2
Formation energy (meV per atom): -98
E_tot (eV for the cell shown): -70.50

No. 9
VASP calculation (GGA-PBE) on Ca2MgCu2 after structural relaxation.

```
data_Ca2MgCu2
_cell_length_a 7.288
_cell_length_b 7.288
_cell_length_c 8.271
_cell_angle_alpha 60.05
_cell_angle_beta 60.05
_cell_angle_gamma 44.77
_space_group_name_H-M_alt 'P 1'
_space_group_IT_number 1
loop_
_space_group_symop_operation_xyz
'x,y,z'
loop_
_atom_site_label
_atom_site_type_symbol
_atom_site_fract_x
_atom_site_fract_y
_atom_site_fract_z
Ca1 Ca 0.499 0.203 0.238
Ca2 Ca 0.797 0.501 0.262
Ca3 Ca 0.501 0.797 0.762
Ca4 Ca 0.203 0.499 0.738
Mg1 Mg 0.834 0.166 0.750
Mg2 Mg 0.166 0.834 0.250
Cu1 Cu 0.937 0.233 0.967
Cu2 Cu 0.767 0.063 0.533
Cu3 Cu 0.063 0.767 0.033
Cu4 Cu 0.233 0.937 0.467
```

Results
SG: C2/c
V (Å³/f.u.): 130.2
Formation energy (meV per atom): -12
E_tot (eV for the cell shown): -27.70

No. 10
VASP calculation (GGA-PBE) on Ca4Mg8Cu after structural relaxation.

```
data_Ca4Mg8Cu
_cell_length_a 10.356
_cell_length_b 10.356
_cell_length_c 10.356
_cell_angle_alpha 91.54
_cell_angle_beta 91.54
_cell_angle_gamma 161.14
_space_group_name_H-M_alt 'P 1'
_space_group_IT_number 1
loop_
_space_group_symop_operation_xyz
'x,y,z'
loop_
_atom_site_label
_atom_site_type_symbol
_atom_site_fract_x
_atom_site_fract_y
_atom_site_fract_z
Ca1 Ca 0.328 0.447 0.775
Ca2 Ca 0.672 0.553 0.225
Ca3 Ca 0.553 0.328 0.880
Ca4 Ca 0.447 0.672 0.120
Mg1 Mg 0.207 0.668 0.875
Mg2 Mg 0.793 0.332 0.125
Mg3 Mg 0.332 0.207 0.539
Mg4 Mg 0.668 0.793 0.461
Mg5 Mg 0.005 0.375 0.379
Mg6 Mg 0.995 0.625 0.621
Mg7 Mg 0.625 0.005 0.630
Mg8 Mg 0.375 0.995 0.370
Cu1 Cu 0.000 0.000 0.000
```

Results
SG: I4/m
V (Å³/f.u.): 354.1
Formation energy (meV per atom): 22
E_tot (eV for the cell shown): -24.58

No. 11
VASP calculation (GGA-PBE) on CaMgCu after structural relaxation.

```
data_CaMgCu
_cell_length_a 4.766
_cell_length_b 4.766
_cell_length_c 4.766
_cell_angle_alpha 60.00
_cell_angle_beta 60.00
_cell_angle_gamma 60.00
_space_group_name_H-M_alt 'P 1'
_space_group_IT_number 1
loop_
_space_group_symop_operation_xyz
'x,y,z'
loop_
_atom_site_label
_atom_site_type_symbol
_atom_site_fract_x
_atom_site_fract_y
_atom_site_fract_z
Ca1 Ca 0.500 0.500 0.500
Cu1 Cu 0.750 0.750 0.750
Mg1 Mg 0.000 0.000 0.000
```

Results
SG: F-43m
V (Å³/f.u.): 76.6
Formation energy (meV per atom): 11
E_tot (eV for the cell shown): -7.66

No. 12
VASP calculation (GGA-PBE) on Ca6MgCu2 after structural relaxation.

```
data_Ca6MgCu2
_cell_length_a 9.025
_cell_length_b 9.025
_cell_length_c 9.025
_cell_angle_alpha 103.42
_cell_angle_beta 111.61
_cell_angle_gamma 113.55
_space_group_name_H-M_alt 'P 1'
_space_group_IT_number 1
loop_
_space_group_symop_operation_xyz
'x,y,z'
loop_
_atom_site_label
_atom_site_type_symbol
_atom_site_fract_x
_atom_site_fract_y
_atom_site_fract_z
Ca1 Ca 0.526 0.710 0.817
Ca2 Ca 0.474 0.290 0.183
Ca3 Ca 0.107 0.290 0.817
Ca4 Ca 0.893 0.710 0.183
Ca5 Ca 0.804 0.756 0.559
Ca6 Ca 0.196 0.244 0.441
Ca7 Ca 0.196 0.756 0.952
Ca8 Ca 0.804 0.244 0.048
Ca9 Ca 0.684 0.351 0.667
Ca10 Ca 0.316 0.649 0.333
Ca11 Ca 0.316 0.982 0.667
Ca12 Ca 0.684 0.018 0.333
Mg1 Mg 0.000 0.500 0.500
Mg2 Mg 0.000 0.000 0.000
Cu1 Cu 0.500 0.385 0.885
Cu2 Cu 0.500 0.615 0.115
Cu3 Cu 0.689 0.000 0.689
Cu4 Cu 0.311 0.000 0.311
```

Results
SG: Immm
V (Å³/f.u.): 280.5
Formation energy (meV per atom): -83
E_tot (eV for the cell shown): -45.08